No. 1
This record from Alexandria describes CoSbSe2 at its PBEsol-relaxed geometry. The functional is meta-GGA SCAN.

Computed properties:
formation energy from raw total energies = 0.48 eV per atom

Lattice parameters (Å, degrees): 3.9534 3.9534 5.6938 110.31 110.31 90.00
Site moments in Bohr magnetons follow the coordinates.
Fractional coordinates of all 4 atoms:
Co (0.5000, 0.5000, 0.0000)  1.93
Sb (0.2500, 0.7500, 0.5000)  -0.04
Se (0.0000, 0.0000, 0.0000)  -0.01
Se (0.7500, 0.2500, 0.5000)  0.06

No. 2
This record from Alexandria describes CoSbSe3 at its PBEsol-relaxed geometry. The functional is meta-GGA SCAN.

Computed properties:
formation energy from raw total energies = 0.92 eV per atom

Lattice parameters (Å, degrees): 5.1964 5.1964 5.1964 90.00 90.00 90.00
Site moments in Bohr magnetons follow the coordinates.
Fractional coordinates of all 5 atoms:
Sb (0.0000, 0.0000, 0.0000)  0.00
Co (0.5000, 0.5000, 0.5000)  2.61
Se (0.0000, 0.5000, 0.0000)  0.10
Se (0.0000, 0.0000, 0.5000)  0.10
Se (0.5000, 0.0000, 0.0000)  0.10

No. 3
This record from Alexandria describes CoSb2Se at its PBEsol-relaxed geometry. The functional is meta-GGA SCAN.

Computed properties:
formation energy from raw total energies = 0.22 eV per atom

Lattice parameters (Å, degrees): 5.9332 5.9332 7.2639 114.10 114.10 90.00
Fractional coordinates of all 8 atoms:
Sb (0.4442, 0.8750, 0.2500)
Sb (0.8058, 0.3750, 0.2500)
Sb (0.1250, 0.1942, 0.7500)
Sb (0.6250, 0.5558, 0.7500)
Co (0.7500, 0.2500, 0.5000)
Co (0.5000, 0.5000, 0.0000)
Se (0.2500, 0.7500, 0.5000)
Se (0.0000, 0.0000, 0.0000)

No. 4
This record from Alexandria describes CoSbSe2 at its PBEsol-relaxed geometry. The functional is meta-GGA SCAN.

Computed properties:
formation energy from raw total energies = 0.73 eV per atom

Lattice parameters (Å, degrees): 4.6796 4.6796 4.6796 60.00 60.00 60.00
Site moments in Bohr magnetons follow the coordinates.
Fractional coordinates of all 4 atoms:
Co (0.5000, 0.5000, 0.5000)  1.80
Sb (0.7500, 0.7500, 0.7500)  -0.09
Se (0.0000, 0.0000, 0.0000)  0.03
Se (0.2500, 0.2500, 0.2500)  -0.01